VASP calculation (PBE+U) on crystalline Li2HoCrO4 at its relaxed geometry.

Output
- VASP energy: -6.8683 eV/atom
- Total magnetization: 3.00 μB per formula unit

a b c (Å): 3.183 5.421 5.305
angles (deg): 109.77 90.00 90.00
Sites, in units of the cell vectors:
Li  0.500  0.000  0.500
Li  0.000  0.500  0.500
Ho  0.500  0.500  0.000
Cr  0.000  0.000  0.000
O  0.500  0.220  0.228
O  0.500  0.780  0.772
O  0.000  0.236  0.765
O  0.000  0.764  0.235